Tc2SbP4 PBE relaxed; space-group type = I4/mmm, No. 139; ΔE_f (raw) = 0.894 eV per atom; total magnetic moment = 0.188 μB/atom; calculated density = 4.862 g/cm³
1.0
4.937 0.000 0.000
0.000 4.937 0.000
2.468 2.468 6.189
Sb Tc P
1 2 4
Direct
0.000 0.000 0.000 Sb
0.600 0.600 0.800 Tc
0.400 0.400 0.200 Tc
0.772 0.772 0.456 P
0.228 0.228 0.544 P
0.000 0.500 0.000 P
0.500 0.000 0.000 P